No. 1
Pr3CdNiHg2Au2 after structural relaxation, computed with PBE.

The structure in POSCAR format:
```
Pr3CdNiHg2Au2
1.0
3.937 0.000 0.000
0.000 6.858 3.929
0.000 -6.858 3.929
Pr Cd Ni Hg Au
3 1 1 2 2
direct
0.000 0.000 0.000
0.000 0.385 0.787
0.000 0.787 0.385
0.500 0.641 0.641
0.000 0.394 0.394
0.500 0.137 0.393
0.500 0.393 0.137
0.500 0.048 0.722
0.500 0.722 0.048
```

Output
Space-group type ... Amm2, No. 38
V ... 212.1 Å³ per cell
Crystal system ... orthorhombic
Energy ... -3.65 eV per atom
Energy of formation from the pure elements ... -0.5510 eV/atom

=====

No. 2
Lu2NiTe after structural relaxation, computed with PBE.

The structure in POSCAR format:
```
Lu2NiTe
1.0
0.000 3.542 3.542
3.542 0.000 3.542
3.542 3.542 0.000
Lu Ni Te
2 1 1
direct
0.000 0.000 0.000
0.250 0.250 0.250
0.500 0.500 0.500
0.750 0.750 0.750
```

Output
Space-group type ... F-43m, No. 216
V ... 88.9 Å³ per cell
Crystal system ... cubic
Energy ... -4.41 eV per atom

=====

No. 3
Pm4CI5 after structural relaxation, computed with PBE.

The structure in POSCAR format:
```
Pm4CI5
1.0
9.657 -2.034 0.000
9.657 2.034 0.000
-1.952 0.000 8.615
Pm C I
4 1 5
direct
0.001 0.001 0.307
0.367 0.367 0.434
0.633 0.633 0.566
0.999 0.999 0.693
0.500 0.500 0.500
0.164 0.164 0.843
0.169 0.169 0.321
0.500 0.500 0.000
0.831 0.831 0.679
0.836 0.836 0.157
```

Output
Space-group type ... C2/m, No. 12
V ... 338.5 Å³ per cell
Crystal system ... monoclinic
Energy ... -4.72 eV per atom

=====

Question: What is the energy in the first record?
Answer: -3.65 eV per atom